Record 1
This record from Alexandria describes a relaxed Pm4Er2Tm3 crystal. The functional is PBE.

Cell lengths 7.017, 9.731, 9.731 Å; angles 60.00, 90.00, 90.00 degrees
Atoms (fractional coordinates):
Pm 0.500 0.819 0.149
Pm 0.000 0.851 0.181
Pm 0.500 0.181 0.851
Pm 0.000 0.149 0.819
Pm 0.000 0.180 0.473
Pm 0.500 0.527 0.820
Pm 0.000 0.820 0.527
Pm 0.500 0.473 0.180
Er 0.500 0.151 0.529
Er 0.000 0.471 0.849
Er 0.500 0.849 0.471
Er 0.000 0.529 0.151
Tm 0.750 0.170 0.171
Tm 0.750 0.829 0.830
Tm 0.250 0.830 0.829
Tm 0.250 0.171 0.170
Tm 0.250 0.500 0.500
Tm 0.750 0.500 0.500

## Properties
Formation energy, eV/f.u.: 0.42
Density of states at the Fermi level, states/eV per atom: 1.2592
SG: Cccm
Relative energy among the computed polymorphs, eV/atom: 0.000
Calculated total energy, eV per atom: -4.57
Crystal system: orthorhombic

Record 2
This record from Alexandria describes a relaxed LaCuHg crystal. The functional is PBE.

Cell lengths 5.638, 6.468, 8.350 Å; angles 111.30, 90.00, 90.00 degrees
Atoms (fractional coordinates):
La 0.886 0.807 0.127
La 0.614 0.807 0.627
La 0.114 0.193 0.873
La 0.386 0.193 0.373
Cu 0.394 0.825 0.983
Cu 0.606 0.175 0.017
Cu 0.894 0.175 0.517
Cu 0.106 0.825 0.483
Hg 0.400 0.603 0.213
Hg 0.600 0.397 0.787
Hg 0.100 0.603 0.713
Hg 0.900 0.397 0.287

## Properties
Formation energy, eV/f.u.: -1.00
Density of states at the Fermi level, states/eV per atom: 0.6082
SG: P2_1/c
Calculated total energy, eV per atom: -3.44
Crystal system: monoclinic

Record 3
This record from Alexandria describes a relaxed Ba3NaI7 crystal. The functional is PBE.

Cell lengths 10.025, 10.025, 11.401 Å; angles 90.00, 90.00, 107.76 degrees
Atoms (fractional coordinates):
Ba 0.500 0.500 0.500
Ba 0.500 0.500 0.000
Ba 0.551 0.003 0.251
Ba 0.449 0.997 0.751
Ba 0.003 0.551 0.749
Ba 0.997 0.449 0.249
Na 0.000 0.000 0.500
Na 0.000 0.000 0.000
I 0.646 0.892 0.528
I 0.354 0.108 0.028
I 0.892 0.646 0.472
I 0.108 0.354 0.972
I 0.109 0.355 0.527
I 0.891 0.645 0.027
I 0.355 0.109 0.473
I 0.645 0.891 0.973
I 0.364 0.636 0.250
I 0.636 0.364 0.750
I 0.633 0.367 0.250
I 0.367 0.633 0.750
I 0.916 0.084 0.250
I 0.084 0.916 0.750

## Properties
Density of states at the Fermi level, states/eV per atom: 0.0000
SG: C222_1
Energy relative to the elements, uncorrected, eV per formula unit: -18.26
Calculated total energy, eV per atom: -3.29
Crystal system: orthorhombic

Record 4
This record from Alexandria describes a relaxed Th3H12Ir5 crystal. The functional is PBE.

Cell lengths 10.392, 10.392, 10.392 Å; angles 109.47, 109.47, 109.47 degrees
Atoms (fractional coordinates):
H 0.681 0.089 0.001
H 0.319 0.501 0.412
H 0.999 0.411 0.319
H 0.501 0.181 0.089
H 0.592 0.681 0.681
H 0.999 0.588 0.181
H 0.319 0.819 0.408
H 0.088 0.908 0.089
H 0.588 0.999 0.681
H 0.681 0.592 0.181
H 0.819 0.499 0.411
H 0.819 0.912 0.001
H 0.089 0.681 0.501
H 0.411 0.412 0.092
H 0.092 0.912 0.411
H 0.408 0.089 0.588
H 0.092 0.181 0.181
H 0.499 0.681 0.088
H 0.819 0.908 0.319
H 0.089 0.408 0.088
H 0.411 0.999 0.819
H 0.588 0.589 0.408
H 0.912 0.819 0.501
H 0.819 0.319 0.908
H 0.412 0.411 0.592
H 0.088 0.181 0.499
H 0.181 0.681 0.092
H 0.181 0.092 0.681
H 0.589 0.001 0.181
H 0.911 0.592 0.912
H 0.501 0.319 0.912
H 0.592 0.911 0.412
H 0.908 0.819 0.819
H 0.908 0.088 0.589
H 0.911 0.319 0.499
H 0.181 0.088 0.999
H 0.589 0.588 0.908
H 0.412 0.001 0.319
H 0.319 0.408 0.819
H 0.181 0.501 0.589
H 0.912 0.092 0.911
H 0.681 0.181 0.592
H 0.499 0.819 0.911
H 0.001 0.412 0.819
H 0.408 0.319 0.319
H 0.001 0.589 0.681
H 0.681 0.499 0.588
H 0.319 0.911 0.999
Ir 0.125 0.375 0.250
Ir 0.000 0.500 0.000
Ir 0.000 0.000 0.000
Ir 0.375 0.250 0.125
Ir 0.500 0.000 0.500
Ir 0.500 0.500 0.000
Ir 0.125 0.750 0.375
Ir 0.750 0.125 0.875
Ir 0.750 0.625 0.375
Ir 0.375 0.125 0.750
Ir 0.625 0.875 0.250
Ir 0.500 0.500 0.500
Ir 0.500 0.000 0.000
Ir 0.000 0.000 0.500
Ir 0.250 0.375 0.625
Ir 0.250 0.875 0.125
Ir 0.000 0.500 0.500
Ir 0.875 0.250 0.625
Ir 0.625 0.750 0.875
Ir 0.875 0.625 0.750
Th 0.750 0.375 0.125
Th 0.875 0.750 0.125
Th 0.375 0.750 0.625
Th 0.250 0.125 0.375
Th 0.875 0.125 0.250
Th 0.375 0.625 0.250
Th 0.625 0.375 0.750
Th 0.125 0.875 0.750
Th 0.750 0.875 0.625
Th 0.625 0.250 0.375
Th 0.125 0.250 0.875
Th 0.250 0.625 0.875

## Properties
Density of states at the Fermi level, states/eV per atom: 0.3787
SG: Ia-3d
Calculated total energy, eV per atom: -5.49
Crystal system: cubic

Record 5
This record from Alexandria describes a relaxed YIn2Cu crystal. The functional is PBE.

Cell lengths 3.393, 3.393, 7.602 Å; angles 90.00, 90.00, 90.00 degrees
Last column: magnetic moment on the atom in μB.
Atoms (fractional coordinates):
Cu 0.500 0.500 0.750  0.00
In 0.000 0.000 0.955  0.00
In 0.000 0.000 0.545  0.00
Y 0.500 0.500 0.250  0.26

## Properties
Formation energy, eV/f.u.: -0.78
Density of states at the Fermi level, states/eV per atom: 0.5966
SG: P4/mmm
Calculated total energy, eV per atom: -4.20
Crystal system: tetragonal

Record 6
This record from Alexandria describes a relaxed TaAsCl2 crystal. The functional is PBE.

Cell lengths 4.750, 4.750, 3.161 Å; angles 90.00, 90.00, 90.00 degrees
Atoms (fractional coordinates):
As 0.000 0.500 0.500
Cl 0.000 0.000 0.000
Cl 0.500 0.500 0.000
Ta 0.500 0.000 0.500

## Properties
Density of states at the Fermi level, states/eV per atom: 0.9636
SG: P4/mmm
Energy relative to the elements, uncorrected, eV per formula unit: 2.71
Relative energy among the computed polymorphs, eV/atom: 1.313
Calculated total energy, eV per atom: -4.37
Crystal system: tetragonal

> Number 6 is which compound?

TaAsCl2